(1)
Below is a relaxed structure of Pr2NdSmY6, with properties calculated at the PBE-GGA level.

a = 8.8166 Å, b = 8.8166 Å, c = 9.9862 Å
α = 95.54°, β = 95.54°, γ = 117.48°
Sites, in units of the cell vectors:
Pr 0.1887 0.2849 0.0435
Pr 0.2849 0.1887 0.5435
Pr 0.7151 0.8113 0.4565
Pr 0.8113 0.7151 0.9565
Nd 0.4039 0.5961 0.7500
Nd 0.5961 0.4039 0.2500
Sm 0.0158 0.9842 0.2500
Sm 0.9842 0.0158 0.7500
Y 0.0247 0.5778 0.1845
Y 0.1188 0.7393 0.5566
Y 0.2607 0.8812 0.9434
Y 0.2993 0.5067 0.3814
Y 0.4222 0.9753 0.3155
Y 0.4933 0.7007 0.1186
Y 0.5067 0.2993 0.8814
Y 0.5778 0.0247 0.6845
Y 0.7007 0.4933 0.6186
Y 0.7393 0.1188 0.0566
Y 0.8812 0.2607 0.4434
Y 0.9753 0.4222 0.8155

Calculated formation energy   1.1 eV/f.u.

(2)
Below is a relaxed structure of LiTb2Mg4, with properties calculated at the PBE-GGA level.

a = 9.4657 Å, b = 9.4657 Å, c = 4.8188 Å
α = 90.00°, β = 90.00°, γ = 149.36°
Sites, in units of the cell vectors:
Li 0.0000 0.0000 0.0000
Tb 0.3106 0.6894 0.5000
Tb 0.6894 0.3106 0.5000
Mg 0.0824 0.9176 0.5000
Mg 0.1883 0.8117 0.0000
Mg 0.8117 0.1883 0.0000
Mg 0.9176 0.0824 0.5000

Calculated formation energy   2.0 eV/f.u.

(3)
Below is a relaxed structure of La2FeSb, with properties calculated at the PBE-GGA level.

a = 3.5287 Å, b = 3.5287 Å, c = 8.7825 Å
α = 90.00°, β = 90.00°, γ = 90.00°
Sites, in units of the cell vectors:
La 0.0000 0.0000 0.0000
La 0.5000 0.5000 0.3769
Fe 0.5000 0.5000 0.7742
Sb 0.0000 0.0000 0.6339

(4)
Below is a relaxed structure of Nd7Dy2Mg2, with properties calculated at the PBE-GGA level.

a = 6.6493 Å, b = 6.6493 Å, c = 8.5700 Å
α = 101.19°, β = 101.19°, γ = 94.17°
Sites, in units of the cell vectors:
Nd 0.0000 0.0000 0.0000
Nd 0.1115 0.4722 0.8187
Nd 0.1453 0.1453 0.4183
Nd 0.4722 0.1115 0.8187
Nd 0.5278 0.8885 0.1813
Nd 0.8547 0.8547 0.5817
Nd 0.8885 0.5278 0.1813
Dy 0.3234 0.6766 0.5000
Dy 0.6766 0.3234 0.5000
Mg 0.3863 0.3863 0.1654
Mg 0.6137 0.6137 0.8346

Calculated formation energy   0.7 eV/f.u.

What E values result from the calculations? In sequence: -5.67, -2.22, -5.68, -4.10 eV/atom.